1.
The following is a DFT calculation (PBE) of crystalline La2EuPb at its relaxed geometry.

Lattice parameters (Å, degrees): 8.135 8.135 8.135 90.00 90.00 90.00
Space group Fm-3m (No. 225)
Asymmetric unit:
La 0.250 0.250 0.250 [8 per cell]
Eu 0.000 0.000 0.000 [4 per cell]
Pb 0.000 0.000 0.500 [4 per cell]

The calculation puts the excess energy over the best structure of this formula in the dataset at 119 meV/atom.



2.
The following is a DFT calculation (PBE) of crystalline LaEu2Pb at its relaxed geometry.

Lattice parameters (Å, degrees): 4.307 4.307 7.462 90.00 90.00 90.00
Space group P4/mmm (No. 123)
Asymmetric unit:
La 0.000 0.000 0.000 [1 per cell]
Eu 0.500 0.500 0.280 [2 per cell]
Pb 0.000 0.000 0.500 [1 per cell]

The calculation puts the excess energy over the best structure of this formula in the dataset at 133 meV/atom.



3.
The following is a DFT calculation (PBE) of crystalline LaEuPdPb at its relaxed geometry.

Lattice parameters (Å, degrees): 7.700 7.700 7.700 90.00 90.00 90.00
Space group F-43m (No. 216)
Asymmetric unit:
La 0.000 0.000 0.000 [4 per cell]
Eu 0.000 0.000 0.500 [4 per cell]
Pd 0.250 0.250 0.250 [4 per cell]
Pb 0.250 0.250 0.750 [4 per cell]



4.
The following is a DFT calculation (PBE) of crystalline LaPrEuPb at its relaxed geometry.

Lattice parameters (Å, degrees): 8.094 8.094 8.094 90.00 90.00 90.00
Space group F-43m (No. 216)
Asymmetric unit:
La 0.000 0.000 0.000 [4 per cell]
Pr 0.000 0.000 0.500 [4 per cell]
Eu 0.250 0.250 0.750 [4 per cell]
Pb 0.250 0.250 0.250 [4 per cell]



5.
The following is a DFT calculation (PBE) of crystalline LaEuPtPb at its relaxed geometry.

Lattice parameters (Å, degrees): 7.641 7.641 7.641 90.00 90.00 90.00
Space group F-43m (No. 216)
Asymmetric unit:
La 0.000 0.000 0.000 [4 per cell]
Eu 0.000 0.000 0.500 [4 per cell]
Pt 0.250 0.250 0.750 [4 per cell]
Pb 0.250 0.250 0.250 [4 per cell]



6.
The following is a DFT calculation (PBE) of crystalline LaSmEuPb at its relaxed geometry.

Lattice parameters (Å, degrees): 8.037 8.037 8.037 90.00 90.00 90.00
Space group F-43m (No. 216)
Asymmetric unit:
La 0.000 0.000 0.000 [4 per cell]
Sm 0.000 0.000 0.500 [4 per cell]
Eu 0.250 0.250 0.250 [4 per cell]
Pb 0.250 0.250 0.750 [4 per cell]



7.
The following is a DFT calculation (PBE) of crystalline LaEuSnPb at its relaxed geometry.

Lattice parameters (Å, degrees): 7.950 7.950 7.950 90.00 90.00 90.00
Space group F-43m (No. 216)
Asymmetric unit:
La 0.000 0.000 0.000 [4 per cell]
Eu 0.000 0.000 0.500 [4 per cell]
Sn 0.250 0.250 0.750 [4 per cell]
Pb 0.250 0.250 0.250 [4 per cell]



8.
The following is a DFT calculation (PBE) of crystalline LaEuZnPb at its relaxed geometry.

Lattice parameters (Å, degrees): 7.808 7.808 7.808 90.00 90.00 90.00
Space group F-43m (No. 216)
Asymmetric unit:
La 0.000 0.000 0.000 [4 per cell]
Eu 0.000 0.000 0.500 [4 per cell]
Zn 0.250 0.250 0.250 [4 per cell]
Pb 0.250 0.250 0.750 [4 per cell]



9.
The following is a DFT calculation (PBE) of crystalline LaEuPd at its relaxed geometry.

Lattice parameters (Å, degrees): 7.223 7.223 7.223 90.00 90.00 90.00
Space group F-43m (No. 216)
Asymmetric unit:
La 0.000 0.000 0.000 [4 per cell]
Eu 0.000 0.000 0.500 [4 per cell]
Pd 0.250 0.250 0.250 [4 per cell]

The calculation puts the excess energy over the best structure of this formula in the dataset at 41 meV/atom.



10.
The following is a DFT calculation (PBE) of crystalline La2EuPd at its relaxed geometry.

Lattice parameters (Å, degrees): 4.1002 4.1002 29.5888 90.00 90.00 120.00
Space group R-3m (No. 166, hexagonal axes)
Asymmetric unit:
La 0.0000 0.0000 0.2260 [6 per cell]
Eu 0.0000 0.0000 0.0000 [3 per cell]
Pd 0.0000 0.0000 0.5000 [3 per cell]

The calculation puts the excess energy over the best structure of this formula in the dataset at 18 meV/atom.



11.
The following is a DFT calculation (PBE) of crystalline LaEuPd at its relaxed geometry.

Lattice parameters (Å, degrees): 3.720 3.720 13.153 90.00 90.00 90.00
Space group I4mm (No. 107)
Asymmetric unit:
La 0.000 0.000 0.000 [2 per cell]
Eu 0.000 0.000 0.737 [2 per cell]
Pd 0.000 0.000 0.381 [2 per cell]

The calculation puts the excess energy over the best structure of this formula in the dataset at 0 meV/atom.



12.
The following is a DFT calculation (PBE) of crystalline LaEuPd at its relaxed geometry.

Lattice parameters (Å, degrees): 4.7994 4.7994 4.4281 90.00 90.00 120.00
Space group P3m1 (No. 156)
Asymmetric unit:
La 0.0000 0.0000 0.0000 [1 per cell]
Eu 0.3333 0.6667 0.5431 [1 per cell]
Pd 0.6667 0.3333 0.2580 [1 per cell]

The calculation puts the excess energy over the best structure of this formula in the dataset at 135 meV/atom.



Asked for DOS(E_F) across the records above, the calculation gives 1.51; 1.43; 3.34; 1.56; 3.12; 1.52; 1.81; 1.50; 1.05; 1.11; 0.71; 0.84 states/eV per atom in order.
Asked for raw total energy across the records above, the calculation gives -24.767; -30.014; -26.397; -24.552; -27.625; -24.418; -25.250; -21.932; -21.698; -26.590; -21.819; -21.414 eV/f.u. in order.